[1]
Here is ScBe2Zn after structural relaxation from Alexandria via LeMat-Bulk. Energies are from PBE.

POSCAR file:
```
ScBe2Zn
1.0
4.043 0.000 0.000
0.000 3.090 -0.016
0.000 0.033 4.743
Sc Be Zn
1 2 1
Direct
0.500 0.250 0.250
0.000 0.751 0.009
0.000 0.749 0.491
0.500 0.750 0.750
```

Space group: P2/m, No. 10
VASP energy, eV/atom: -3.66
Size of the total moment, μB per formula unit: 0.00



[2]
Here is ScBe2Zn after structural relaxation from Alexandria via LeMat-Bulk. Energies are from PBE.

POSCAR file:
```
ScBe2Zn
1.0
2.861 0.000 0.000
0.000 2.861 0.000
0.000 0.000 6.459
Sc Be Zn
1 2 1
Direct
0.000 0.000 0.476
0.000 0.000 0.031
0.500 0.500 0.191
0.500 0.500 0.802
```

Space group: P4mm, No. 99
VASP energy, eV/atom: -3.75
Size of the total moment, μB per formula unit: 0.07



[3]
Here is Sc6BeZn5 after structural relaxation from Alexandria via LeMat-Bulk. Energies are from PBE.

POSCAR file:
```
Sc6BeZn5
1.0
4.453 -0.027 1.483
0.036 6.651 0.012
-0.006 -0.013 7.433
Sc Be Zn
6 1 5
Direct
0.837 0.754 0.326
0.837 0.246 0.326
0.500 0.242 0.000
0.500 0.758 0.000
0.163 0.754 0.674
0.163 0.246 0.674
0.000 0.000 0.000
0.667 0.500 0.664
0.333 0.000 0.336
0.000 0.500 0.000
0.667 0.000 0.664
0.333 0.500 0.336
```

Space group: Cmmm, No. 65
VASP energy, eV/atom: -4.32
Size of the total moment, μB per formula unit: 0.00



[4]
Here is ScBe2Zn after structural relaxation from Alexandria via LeMat-Bulk. Energies are from PBE.

POSCAR file:
```
ScBe2Zn
1.0
4.071 0.000 0.000
0.000 4.071 0.000
0.000 0.000 3.359
Sc Be Zn
1 2 1
Direct
0.500 0.000 0.500
0.000 0.000 0.000
0.500 0.500 0.000
0.000 0.500 0.500
```

Space group: P4/mmm, No. 123
VASP energy, eV/atom: -3.67
Size of the total moment, μB per formula unit: 0.00